[1]
Re2AsPb: optimized geometry, GGA-PBEsol.

- density (g/cm³) = 16.598
- space-group type = P4/mmm, No. 123
- E above lowest polymorph (eV/atom) = 0.648
- ΔE_f (eV per atom) = 0.911
- uncorrected energy (eV/cell) = -32.125
- DOS at the Fermi energy (states/eV/f.u.) = 3.718
- total moment (μB/f.u.) = 0.00

Cell lengths 3.207, 4.519, 4.519 Å; angles 90.00, 90.00, 90.00 degrees
Sites, in units of the cell vectors:
Re  0.000  0.000  0.500
As  0.500  0.500  0.500
Pb  0.500  0.000  0.000
Re  0.000  0.500  0.000



[2]
Re2AsPb: optimized geometry, GGA-PBEsol.

- density (g/cm³) = 14.771
- space-group type = P4mm, No. 99
- E above lowest polymorph (eV/atom) = 0.000
- ΔE_f (eV per atom) = 0.263
- uncorrected energy (eV/cell) = -34.716
- DOS at the Fermi energy (states/eV/f.u.) = 2.387
- total moment (μB/f.u.) = 0.00

Cell lengths 2.962, 2.962, 8.385 Å; angles 90.00, 90.00, 90.00 degrees
Sites, in units of the cell vectors:
Re  0.000  0.000  0.046
As  0.000  0.000  0.433
Re  0.500  0.500  0.240
Pb  0.500  0.500  0.781



[3]
Re2AsPb: optimized geometry, GGA-PBEsol.

- density (g/cm³) = 13.004
- space-group type = Cm, No. 8
- E above lowest polymorph (eV/atom) = 0.302
- ΔE_f (eV per atom) = 0.566
- uncorrected energy (eV/cell) = -33.507
- DOS at the Fermi energy (states/eV/f.u.) = 3.573
- total moment (μB/f.u.) = 0.00

Cell lengths 3.069, 4.462, 6.590 Å; angles 98.87, 90.00, 110.11 degrees
Sites, in units of the cell vectors:
Re  0.988  0.975  0.912
As  0.518  0.035  0.596
Pb  0.741  0.482  0.202
Re  0.254  0.508  0.791



[4]
As2RhPb: optimized geometry, GGA-PBEsol.

- density (g/cm³) = 10.066
- space-group type = Pmmm, No. 47
- ΔE_f (eV per atom) = 0.293
- uncorrected energy (eV/cell) = -21.178
- DOS at the Fermi energy (states/eV/f.u.) = 2.511
- total moment (μB/f.u.) = 0.00

Cell lengths 3.830, 4.254, 4.657 Å; angles 90.00, 90.00, 90.00 degrees
Sites, in units of the cell vectors:
As  0.500  0.500  0.000
Rh  0.000  0.500  0.500
As  0.000  0.000  0.000
Pb  0.500  0.000  0.500



[5]
AsRh2Pb: optimized geometry, GGA-PBEsol.

- density (g/cm³) = 11.450
- space-group type = Pm, No. 6
- ΔE_f (eV per atom) = -0.101
- uncorrected energy (eV/cell) = -25.787
- DOS at the Fermi energy (states/eV/f.u.) = 2.676
- total moment (μB/f.u.) = 0.00

Cell lengths 3.224, 4.640, 4.730 Å; angles 90.00, 89.76, 90.00 degrees
Sites, in units of the cell vectors:
Rh  0.625  0.500  0.245
As  0.624  0.000  0.435
Rh  0.127  0.000  0.066
Pb  0.124  0.500  0.754



[6]
As2RhPb: optimized geometry, GGA-PBEsol.

- density (g/cm³) = 9.840
- space-group type = P4mm, No. 99
- ΔE_f (eV per atom) = 0.007
- uncorrected energy (eV/cell) = -22.322
- DOS at the Fermi energy (states/eV/f.u.) = 2.458
- total moment (μB/f.u.) = 0.00

Cell lengths 3.272, 3.272, 7.248 Å; angles 90.00, 90.00, 90.00 degrees
Sites, in units of the cell vectors:
Pb  0.000  0.000  0.534
As  0.000  0.000  0.964
As  0.500  0.500  0.185
Rh  0.500  0.500  0.817



[7]
AsRh2Pb: optimized geometry, GGA-PBEsol.

- density (g/cm³) = 11.746
- space-group type = Pmm2, No. 25
- ΔE_f (eV per atom) = -0.131
- uncorrected energy (eV/cell) = -25.906
- DOS at the Fermi energy (states/eV/f.u.) = 2.755
- total moment (μB/f.u.) = 0.00

Cell lengths 3.134, 3.752, 5.866 Å; angles 90.00, 90.00, 90.00 degrees
Sites, in units of the cell vectors:
As  0.000  0.000  0.410
Rh  0.000  0.000  0.005
Pb  0.500  0.500  0.789
Rh  0.500  0.500  0.296



[8]
TaAsRh2Pb: optimized geometry, GGA-PBEsol.

- density (g/cm³) = 11.358
- space-group type = P4/mmm, No. 123
- ΔE_f (eV per atom) = 0.487
- uncorrected energy (eV/cell) = -35.500
- DOS at the Fermi energy (states/eV/f.u.) = 5.184
- total moment (μB/f.u.) = 0.00

Cell lengths 4.504, 4.504, 4.821 Å; angles 90.00, 90.00, 90.00 degrees
Sites, in units of the cell vectors:
Pb  0.500  0.500  0.500
Rh  0.500  0.000  0.000
Ta  0.000  0.000  0.500
Rh  0.000  0.500  0.000
As  0.000  0.000  0.000



[9]
TeAs2RhPb: optimized geometry, GGA-PBEsol.

- density (g/cm³) = 6.460
- space-group type = P4/mmm, No. 123
- formation energy from raw total energies (meV/atom) = 1519
- uncorrected energy (eV/cell) = -18.282
- DOS at the Fermi energy (states/eV/f.u.) = 8.358
- total moment (μB/f.u.) = 0.81

Cell lengths 5.137, 5.137, 5.723 Å; angles 90.00, 90.00, 90.00 degrees
Sites, in units of the cell vectors:
As  0.500  0.000  0.000
As  0.000  0.500  0.000
Te  0.000  0.000  0.000
Rh  0.500  0.500  0.500
Pb  0.000  0.000  0.500



[10]
AsRuPb: optimized geometry, GGA-PBEsol.

- density (g/cm³) = 9.564
- space-group type = F-43m, No. 216
- ΔE_f (eV per atom) = 1.071
- uncorrected energy (eV/cell) = -16.065
- DOS at the Fermi energy (states/eV/f.u.) = 3.484
- total moment (μB/f.u.) = 0.00

Cell lengths 4.548, 4.548, 4.548 Å; angles 60.00, 60.00, 60.00 degrees
Sites, in units of the cell vectors:
Pb  0.250  0.250  0.250
Ru  0.000  0.000  0.000
As  0.500  0.500  0.500



[11]
SrAsRu2Pb: optimized geometry, GGA-PBEsol.

- density (g/cm³) = 8.189
- space-group type = P4/mmm, No. 123
- ΔE_f (eV per atom) = 0.502
- uncorrected energy (eV/cell) = -28.781
- DOS at the Fermi energy (states/eV/f.u.) = 6.176
- total moment (μB/f.u.) = 0.05

Cell lengths 4.631, 4.631, 5.406 Å; angles 90.00, 90.00, 90.00 degrees
Sites, in units of the cell vectors:
Ru  0.000  0.500  0.000
Sr  0.500  0.500  0.500
Ru  0.500  0.000  0.000
As  0.000  0.000  0.000
Pb  0.000  0.000  0.500



[12]
As4Pb9S15: optimized geometry, GGA-PBEsol.

- density (g/cm³) = 6.424
- space-group type = R3m, No. 160
- formation energy from raw total energies (meV/atom) = -391
- uncorrected energy (eV/cell) = -133.111
- total moment (μB/f.u.) = 0.00

Cell lengths 7.546, 10.534, 10.534 Å; angles 114.49, 103.82, 103.82 degrees
Sites, in units of the cell vectors:
Pb  0.761  0.735  0.530
Pb  0.026  0.795  0.265
S  0.412  0.449  0.807
Pb  0.761  0.530  0.735
S  0.509  0.441  0.441
As  0.601  0.430  0.000
S  0.605  0.193  0.642
S  0.366  0.000  0.249
Pb  0.026  0.265  0.795
Pb  0.231  0.205  0.470
S  0.117  0.751  0.751
As  0.171  0.570  0.570
As  0.939  0.000  0.000
Pb  0.410  0.743  0.000
Pb  0.667  0.257  0.257
S  0.412  0.807  0.449
S  0.860  0.196  0.000
As  0.601  0.000  0.430
S  0.860  0.000  0.196
S  0.963  0.358  0.551
S  0.068  0.000  0.559
Pb  0.410  0.000  0.743
S  0.664  0.804  0.804
S  0.605  0.642  0.193
Pb  0.231  0.470  0.205
S  0.963  0.551  0.358
S  0.366  0.249  0.000
S  0.068  0.559  0.000